Cu8NiAu6 | GGA-PBE | relaxed

CIF file:
```
data_Cu8NiAu6
_chemical_formula_sum 'Cu24 Ni3 Au18'
_cell_length_a 6.8454
_cell_length_b 6.8454
_cell_length_c 16.3928
_cell_angle_alpha 90.00
_cell_angle_beta 90.00
_cell_angle_gamma 120.00
_symmetry_space_group_name_H-M 'R -3'
_symmetry_Int_Tables_number 148
_symmetry_space_group_name_Hall '-R 3'
loop_
_atom_site_label
_atom_site_fract_x
_atom_site_fract_y
_atom_site_fract_z
Cu1 0.0000 0.0000 0.1488
Cu2 0.0388 0.2439 0.5586
Ni1 0.0000 0.0000 0.0000
Au1 0.0517 0.2672 0.7240
```

The formation energy comes out at 0.0428 eV per atom. For the theoretical density, the calculation gives 13.1 g/cm3.

---

Cu2NiAu | GGA-PBE | relaxed

CIF file:
```
data_Cu2NiAu
_chemical_formula_sum 'Cu4 Ni2 Au2'
_cell_length_a 5.199
_cell_length_b 8.764
_cell_length_c 2.663
_cell_angle_alpha 90.00
_cell_angle_beta 117.06
_cell_angle_gamma 90.00
_symmetry_space_group_name_H-M 'C 1 2/m 1'
_symmetry_Int_Tables_number 12
_symmetry_space_group_name_Hall '-C 2y'
loop_
_atom_site_label
_atom_site_fract_x
_atom_site_fract_y
_atom_site_fract_z
Cu1 0.250 0.250 0.000
Ni1 0.000 0.000 0.500
Au1 0.000 0.500 0.500
```

The formation energy comes out at 0.1042 eV per atom. For the theoretical density, the calculation gives 11.8 g/cm3.

---

CuNiAu2 | GGA-PBE | relaxed

CIF file:
```
data_CuNiAu2
_chemical_formula_sum 'Cu2 Ni2 Au4'
_cell_length_a 9.423
_cell_length_b 2.882
_cell_length_c 4.544
_cell_angle_alpha 90.00
_cell_angle_beta 106.98
_cell_angle_gamma 90.00
_symmetry_space_group_name_H-M 'C 1 m 1'
_symmetry_Int_Tables_number 8
_symmetry_space_group_name_Hall 'C -2y'
loop_
_atom_site_label
_atom_site_fract_x
_atom_site_fract_y
_atom_site_fract_z
Cu1 0.000 0.000 0.000
Ni1 0.224 0.500 0.285
Au1 0.245 0.000 0.802
Au2 0.473 0.000 0.475
```

The formation energy comes out at 0.0341 eV per atom. For the theoretical density, the calculation gives 14.5 g/cm3.

---

Cu8NiAu2 | GGA-PBE | relaxed

CIF file:
```
data_Cu8NiAu2
_chemical_formula_sum 'Cu16 Ni2 Au4'
_cell_length_a 13.573
_cell_length_b 3.685
_cell_length_c 5.974
_cell_angle_alpha 90.00
_cell_angle_beta 106.10
_cell_angle_gamma 90.00
_symmetry_space_group_name_H-M 'C 1 2/m 1'
_symmetry_Int_Tables_number 12
_symmetry_space_group_name_Hall '-C 2y'
loop_
_atom_site_label
_atom_site_fract_x
_atom_site_fract_y
_atom_site_fract_z
Cu1 0.040 0.000 0.230
Cu2 0.084 0.500 0.944
Cu3 0.128 0.000 0.668
Cu4 0.171 0.500 0.408
Ni1 0.000 0.500 0.500
Au1 0.224 0.000 0.152
```

The formation energy comes out at -0.0002 eV per atom. For the theoretical density, the calculation gives 11.1 g/cm3.

---

Cu2NiAu2 | GGA-PBE | relaxed

CIF file:
```
data_Cu2NiAu2
_chemical_formula_sum 'Cu4 Ni2 Au4'
_cell_length_a 6.283
_cell_length_b 6.283
_cell_length_c 3.751
_cell_angle_alpha 90.00
_cell_angle_beta 90.00
_cell_angle_gamma 90.00
_symmetry_space_group_name_H-M 'P 4/m b m'
_symmetry_Int_Tables_number 127
_symmetry_space_group_name_Hall '-P 4 2ab'
loop_
_atom_site_label
_atom_site_fract_x
_atom_site_fract_y
_atom_site_fract_z
Cu1 0.134 0.366 0.000
Ni1 0.000 0.000 0.000
Au1 0.172 0.672 0.500
```

The formation energy comes out at 0.1687 eV per atom. The calculation puts the polymorph energy (0 for the lowest one) at 145.5 meV/atom. For the theoretical density, the calculation gives 13.0 g/cm3.

---

Cu6NiAu12 | GGA-PBE | relaxed

CIF file:
```
data_Cu6NiAu12
_chemical_formula_sum 'Cu18 Ni3 Au36'
_cell_length_a 12.2993
_cell_length_b 12.2993
_cell_length_c 6.9530
_cell_angle_alpha 90.00
_cell_angle_beta 90.00
_cell_angle_gamma 120.00
_symmetry_space_group_name_H-M 'R -3'
_symmetry_Int_Tables_number 148
_symmetry_space_group_name_Hall '-R 3'
loop_
_atom_site_label
_atom_site_fract_x
_atom_site_fract_y
_atom_site_fract_z
Cu1 0.0341 0.7515 0.3332
Ni1 0.0000 0.0000 0.0000
Au1 0.0097 0.8698 0.6659
Au2 0.0675 0.5076 0.6708
```

The formation energy comes out at 0.0021 eV per atom. The calculation puts the polymorph energy (0 for the lowest one) at 0.0 meV/atom. For the theoretical density, the calculation gives 15.3 g/cm3.

---

Cu2NiAu8 | GGA-PBE | relaxed

CIF file:
```
data_Cu2NiAu8
_chemical_formula_sum 'Cu4 Ni2 Au16'
_cell_length_a 14.339
_cell_length_b 4.107
_cell_length_c 6.434
_cell_angle_alpha 90.00
_cell_angle_beta 107.14
_cell_angle_gamma 90.00
_symmetry_space_group_name_H-M 'C 1 2/m 1'
_symmetry_Int_Tables_number 12
_symmetry_space_group_name_Hall '-C 2y'
loop_
_atom_site_label
_atom_site_fract_x
_atom_site_fract_y
_atom_site_fract_z
Cu1 0.225 0.000 0.138
Ni1 0.000 0.500 0.500
Au1 0.044 0.000 0.235
Au2 0.098 0.500 0.955
Au3 0.142 0.000 0.697
Au4 0.179 0.500 0.418
```

The formation energy comes out at 0.0168 eV per atom. The calculation puts the polymorph energy (0 for the lowest one) at 0.0 meV/atom. For the theoretical density, the calculation gives 16.2 g/cm3.

---

Cu5NiAu | GGA-PBE | relaxed

CIF file:
```
data_Cu5NiAu
_chemical_formula_sum 'Cu5 Ni1 Au1'
_cell_length_a 3.567
_cell_length_b 3.567
_cell_length_c 7.526
_cell_angle_alpha 90.00
_cell_angle_beta 90.00
_cell_angle_gamma 90.00
_symmetry_space_group_name_H-M 'P 4/m m m'
_symmetry_Int_Tables_number 123
_symmetry_space_group_name_Hall '-P 4 2'
loop_
_atom_site_label
_atom_site_fract_x
_atom_site_fract_y
_atom_site_fract_z
Cu1 0.000 0.000 0.000
Cu2 0.000 0.500 0.240
Ni1 0.500 0.500 0.000
Au1 0.000 0.000 0.500
```

The formation energy comes out at 0.0997 eV per atom. For the theoretical density, the calculation gives 9.9 g/cm3.

---

Cu6Ni3Au | GGA-PBE | relaxed

CIF file:
```
data_Cu6Ni3Au
_chemical_formula_sum 'Cu12 Ni6 Au2'
_cell_length_a 6.852
_cell_length_b 4.204
_cell_length_c 9.141
_cell_angle_alpha 90.00
_cell_angle_beta 111.25
_cell_angle_gamma 90.00
_symmetry_space_group_name_H-M 'P 1 21/m 1'
_symmetry_Int_Tables_number 11
_symmetry_space_group_name_Hall '-P 2yb'
loop_
_atom_site_label
_atom_site_fract_x
_atom_site_fract_y
_atom_site_fract_z
Cu1 0.008 0.250 0.174
Cu2 0.020 0.250 0.675
Cu3 0.183 0.750 0.113
Cu4 0.186 0.250 0.478
Cu5 0.393 0.750 0.932
Cu6 0.406 0.250 0.251
Ni1 0.203 0.750 0.639
Ni2 0.206 0.250 0.965
Ni3 0.403 0.250 0.777
Au1 0.380 0.750 0.417
```

The formation energy comes out at 0.0434 eV per atom. For the theoretical density, the calculation gives 10.2 g/cm3.

---

CuNi2Au2 | GGA-PBE | relaxed

CIF file:
```
data_CuNi2Au2
_chemical_formula_sum 'Cu2 Ni4 Au4'
_cell_length_a 7.423
_cell_length_b 7.423
_cell_length_c 2.761
_cell_angle_alpha 90.00
_cell_angle_beta 90.00
_cell_angle_gamma 90.00
_symmetry_space_group_name_H-M 'P 4/m b m'
_symmetry_Int_Tables_number 127
_symmetry_space_group_name_Hall '-P 4 2ab'
loop_
_atom_site_label
_atom_site_fract_x
_atom_site_fract_y
_atom_site_fract_z
Cu1 0.000 0.000 0.000
Ni1 0.120 0.380 0.500
Au1 0.176 0.676 0.000
```

The formation energy comes out at 0.2754 eV per atom. The calculation puts the polymorph energy (0 for the lowest one) at 56.9 meV/atom. For the theoretical density, the calculation gives 12.5 g/cm3.

---

CuNiAu | GGA-PBE | relaxed

CIF file:
```
data_CuNiAu
_chemical_formula_sum 'Cu2 Ni2 Au2'
_cell_length_a 2.764
_cell_length_b 3.612
_cell_length_c 8.210
_cell_angle_alpha 90.00
_cell_angle_beta 90.00
_cell_angle_gamma 90.00
_symmetry_space_group_name_H-M 'I m m 2'
_symmetry_Int_Tables_number 44
_symmetry_space_group_name_Hall 'I 2 -2'
loop_
_atom_site_label
_atom_site_fract_x
_atom_site_fract_y
_atom_site_fract_z
Cu1 0.000 0.000 0.000
Ni1 0.000 0.000 0.350
Au1 0.000 0.000 0.676
```

The formation energy comes out at 0.0534 eV per atom. The calculation puts the polymorph energy (0 for the lowest one) at 18.4 meV/atom. For the theoretical density, the calculation gives 12.9 g/cm3.

---

Cu3NiAu2 | GGA-PBE | relaxed

CIF file:
```
data_Cu3NiAu2
_chemical_formula_sum 'Cu12 Ni4 Au8'
_cell_length_a 3.935
_cell_length_b 11.862
_cell_length_c 7.130
_cell_angle_alpha 90.00
_cell_angle_beta 90.00
_cell_angle_gamma 90.00
_symmetry_space_group_name_H-M 'C m m m'
_symmetry_Int_Tables_number 65
_symmetry_space_group_name_Hall '-C 2 2'
loop_
_atom_site_label
_atom_site_fract_x
_atom_site_fract_y
_atom_site_fract_z
Cu1 0.000 0.000 0.238
Cu2 0.000 0.327 0.229
Ni1 0.000 0.169 0.000
Au1 0.000 0.166 0.500
Au2 0.000 0.500 0.000
Au3 0.000 0.500 0.500
```

The formation energy comes out at 0.0035 eV per atom. For the theoretical density, the calculation gives 12.8 g/cm3.

---

| no. | energy (eV for the cell shown) |
| --- | --- |
| 1 | -172.719 |
| 2 | -33.668 |
| 3 | -32.592 |
| 4 | -90.215 |
| 5 | -39.370 |
| 6 | -208.939 |
| 7 | -80.017 |
| 8 | -28.841 |
| 9 | -89.529 |
| 10 | -41.673 |
| 11 | -25.990 |
| 12 | -98.414 |